Computed, not measured: a relaxed structure of Zr2MoOs at the GGA-PBE level of DFT.

Cell: 3.2749 4.6095 9.6827 Å, 90.00 90.00 90.00°
Space group Imm2 (No. 44)
Asymmetric unit:
Zr (0.0000, 0.0000, 0.0000) [2 per cell]
Zr (0.0000, 0.5000, 0.2343) [2 per cell]
Mo (0.0000, 0.0000, 0.4784) [2 per cell]
Os (0.0000, 0.5000, 0.7503) [2 per cell]

Calculated values
ΔE_f (eV/atom): -0.22
ρ (Mg/m³): 10.65